[1]
Computed, not measured: a relaxed structure of Sm2Pa4Rh9 at the PBE level of DFT.

## Properties
The value obtained for the formation energy is -0.700 eV per atom. As for the theoretical density: 11.5 g cm⁻³. The value obtained for the magnetization is 0.0 μB per cell.

The structure in POSCAR format:
```
Sm2Pa4Rh9
1.0
-2.394 -3.591 1.551
1.058 0.300 -4.453
14.575 -8.467 2.894
Rh Pa Sm
9 4 2
direct
0.667 0.333 0.420 Rh
0.000 0.000 0.160 Rh
0.000 0.000 0.334 Rh
0.000 0.000 0.666 Rh
0.333 0.667 0.580 Rh
0.000 0.000 0.840 Rh
0.333 0.667 0.931 Rh
0.667 0.333 0.069 Rh
0.000 0.000 0.500 Rh
0.333 0.667 0.100 Pa
0.333 0.667 0.408 Pa
0.667 0.333 0.900 Pa
0.667 0.333 0.592 Pa
0.667 0.333 0.249 Sm
0.333 0.667 0.751 Sm
```


[2]
Computed, not measured: a relaxed structure of Ca2TaOs at the PBE level of DFT.

## Properties
The value obtained for the formation energy is 0.796 eV per atom. Its relative energy among the computed polymorphs is 0.654 eV per atom. As for the theoretical density: 8.9 g cm⁻³. The value obtained for the magnetization is 0.1 μB per cell.

The structure in POSCAR format:
```
Ca2TaOs
1.0
-6.295 -0.288 8.364
-7.136 -2.951 7.074
-4.681 -2.846 8.926
Ta Os Ca
1 1 2
direct
0.750 0.750 0.750 Ta
0.250 0.250 0.250 Os
0.508 0.508 0.508 Ca
0.992 0.992 0.992 Ca
```


[3]
Computed, not measured: a relaxed structure of Zr2TlZnF at the PBE level of DFT.

## Properties
The value obtained for the raw formation energy is 0.330 eV per formula unit. As for the theoretical density: 7.1 g cm⁻³. The value obtained for the magnetization is 0.0 μB per cell.

The structure in POSCAR format:
```
Zr2TlZnF
1.0
5.266 0.000 0.000
0.000 3.962 0.000
0.000 0.000 5.266
Zr Tl F Zn
2 1 1 1
direct
0.500 0.000 0.000 Zr
0.000 0.000 0.500 Zr
0.500 0.500 0.500 Tl
0.000 0.500 0.000 F
0.000 0.000 0.000 Zn
```


[4]
Computed, not measured: a relaxed structure of YC at the PBE level of DFT.

## Properties
The value obtained for the formation energy is 0.086 eV per atom. Its relative energy among the computed polymorphs is 0.300 eV per atom. As for the theoretical density: 3.6 g cm⁻³. The value obtained for the magnetization is 0.0 μB per cell.

The structure in POSCAR format:
```
YC
1.0
9.811 0.000 0.000
0.000 9.811 0.000
0.000 0.000 3.898
C Y
8 8
direct
0.939 0.471 0.000 C
0.529 0.939 0.000 C
0.323 0.765 0.500 C
0.677 0.235 0.500 C
0.061 0.529 0.000 C
0.235 0.323 0.500 C
0.765 0.677 0.500 C
0.471 0.061 0.000 C
0.724 0.117 0.000 Y
0.790 0.441 0.500 Y
0.441 0.210 0.500 Y
0.883 0.724 0.000 Y
0.276 0.883 0.000 Y
0.559 0.790 0.500 Y
0.117 0.276 0.000 Y
0.210 0.559 0.500 Y
```


[5]
Computed, not measured: a relaxed structure of BaCa2Tl2 at the PBE level of DFT.

## Properties
The value obtained for the formation energy is -0.298 eV per atom. Its relative energy among the computed polymorphs is 0.044 eV per atom. As for the theoretical density: 5.5 g cm⁻³. The value obtained for the magnetization is 0.0 μB per cell.

The structure in POSCAR format:
```
BaCa2Tl2
1.0
-4.234 1.436 -2.615
1.216 -3.315 -3.789
-5.239 -6.021 0.048
Ca Ba Tl
2 1 2
direct
0.750 0.250 0.500 Ca
0.250 0.750 0.500 Ca
0.000 0.000 0.000 Ba
0.395 0.395 0.210 Tl
0.605 0.605 0.790 Tl
```


[6]
Computed, not measured: a relaxed structure of ReNi2Pt at the PBE level of DFT.

## Properties
The value obtained for the formation energy is 0.061 eV per atom. Its relative energy among the computed polymorphs is 0.143 eV per atom. As for the theoretical density: 15.5 g cm⁻³. The value obtained for the magnetization is 0.0 μB per cell.

The structure in POSCAR format:
```
ReNi2Pt
1.0
-5.412 4.102 -5.300
-4.005 2.700 -7.133
-6.105 1.555 -5.876
Ni Pt Re
2 1 1
direct
0.999 0.999 0.999 Ni
0.254 0.254 0.254 Ni
0.502 0.502 0.502 Pt
0.745 0.745 0.745 Re
```


[7]
Computed, not measured: a relaxed structure of TbDy5Pb4 at the PBE level of DFT.

## Properties
The value obtained for the formation energy is -0.200 eV per atom. As for the theoretical density: 9.5 g cm⁻³. The value obtained for the magnetization is 0.0 μB per cell.

The structure in POSCAR format:
```
TbDy5Pb4
1.0
-1.300 0.068 3.426
-3.038 -9.250 -0.969
8.549 -2.537 1.335
Tb Pb Dy
1 4 5
direct
0.500 0.000 0.000 Tb
0.025 0.252 0.051 Pb
0.975 0.748 0.949 Pb
0.682 0.067 0.365 Pb
0.318 0.933 0.635 Pb
0.191 0.387 0.382 Dy
0.500 0.500 0.000 Dy
0.809 0.613 0.618 Dy
0.155 0.756 0.310 Dy
0.845 0.244 0.690 Dy
```


[8]
Computed, not measured: a relaxed structure of CaBe2Re at the PBE level of DFT.

## Properties
The value obtained for the formation energy is 0.607 eV per atom. Its relative energy among the computed polymorphs is 0.318 eV per atom. As for the theoretical density: 7.0 g cm⁻³. The value obtained for the magnetization is 0.5 μB per cell.

The structure in POSCAR format:
```
CaBe2Re
1.0
-1.325 -3.063 2.775
-3.361 0.768 2.637
-3.779 -2.032 -0.653
Be Ca Re
2 1 1
direct
0.750 0.750 0.750 Be
0.250 0.250 0.250 Be
0.000 0.000 0.000 Ca
0.500 0.500 0.500 Re
```


Which formula does entry 2 have? Ca2TaOs


Which of these has the lowest theoretical density? YC


Number 8 is which compound? CaBe2Re